A relaxed structure of ZrMn2Tl2Se4, computed with PBE.

## Properties
Calculated total energy: -5.70 eV per atom
ρ: 6.91 g/cm3
Formation energy without anion corrections: -5.7 eV/f.u.

```
data_ZrMn2Tl2Se4
_cell_length_a 14.747
_cell_length_b 3.955
_cell_length_c 7.985
_cell_angle_alpha 90.00
_cell_angle_beta 107.32
_cell_angle_gamma 90.00
_symmetry_space_group_name_H-M 'C 1 2/m 1'
_symmetry_Int_Tables_number 12
_symmetry_space_group_name_Hall '-C 2y'
loop_
_atom_site_label
_atom_site_type_symbol
_atom_site_fract_x
_atom_site_fract_y
_atom_site_fract_z
_atom_site_occupancy
Zr1 Zr 0.000 0.000 0.000 1
Mn1 Mn 0.170 0.500 0.967 1
Tl1 Tl 0.138 0.000 0.571 1
Se1 Se 0.009 0.500 0.761 1
Se2 Se 0.194 0.000 0.175 1
```